! Ca2SmNpAs4 (GGA-PBE, optimized geometry); values from VASP
! V in Å³ per cell: 209.6
! Magnetic moment in μB per cell: 2.04
! Formation energy from the elements in eV per atom: -1.0854
&SYSTEM
  ibrav = 0, nat = 8, ntyp = 4
/
ATOMIC_SPECIES
As 74.92 As.upf
Ca 40.08 Ca.upf
Sm 150.36 Sm.upf
Np 237.00 Np.upf
ATOMIC_POSITIONS angstrom
As 2.108 1.109 1.592
As 2.108 3.618 5.340
As 0.000 -0.191 5.239
As 0.000 4.918 1.693
Ca 0.000 2.364 3.466
Ca 2.108 -1.266 3.401
Sm 2.108 3.630 0.066
Np 0.000 0.000 0.000
CELL_PARAMETERS angstrom
4.216 0.000 0.000
0.000 7.259 0.131
0.000 -2.532 6.801